A relaxed structure of CsZrCu, computed with GGA-PBE.

```
3
Lattice="1.4306 -4.2542 1.7216 -2.9930 -2.6368 2.6829 -1.8690 -4.0603 -1.7689" Properties=species:S:1:pos:R:3 pbc="T T T"
Zr -2.5735 -8.2135 1.9767
Cs 0.0000 0.0000 0.0000
Cu -0.8578 -2.7378 0.6589
```

Final energy (eV/atom): -2.57
Magnetization (μB/cell): 0.02